Computed, not measured: crystalline HgB2Os2 at its relaxed geometry at the PBE-GGA level of DFT.

a b c (Å): 6.563 6.563 2.830
angles (deg): 90.00 90.00 90.00
Sites, in units of the cell vectors:
1 Hg 0.000 0.000 0.000
2 Hg 0.500 0.500 0.000
3 B 0.127 0.373 0.000
4 B 0.373 0.873 0.000
5 B 0.627 0.127 0.000
6 B 0.873 0.627 0.000
7 Os 0.146 0.646 0.500
8 Os 0.354 0.146 0.500
9 Os 0.646 0.854 0.500
10 Os 0.854 0.354 0.500

Output
As for the uncorrected energy: -6.59 eV/atom. The value obtained for the magnetization is 0.000 μB/f.u. As for the space group: P4/mbm, No. 127. For the polymorph energy (0 for the lowest one), the calculation gives 181 meV/atom. As for the volume: 121.88 Å³ per cell.